a | Material: MoAuI2O
Method: DFT, GGA+U
State: relaxed

As for the density of states at the Fermi level: 1.5241 states/eV/atom. The calculated density is 6.9 Mg/m³.

It has space group P4/mmm (No. 123), with a = 5.803 Å, b = 5.803 Å, c = 4.010 Å, α = 90.00°, β = 90.00° and γ = 90.00°. The asymmetric unit holds Mo at (0.000, 0.000, 0.000), Au at (0.500, 0.500, 0.500), I at (0.000, 0.500, 0.500) and O at (0.500, 0.500, 0.000).

***

b | Material: MoAuI2O
Method: DFT, GGA+U
State: relaxed

As for the density of states at the Fermi level: 0.3798 states/eV/atom. The calculated density is 7.0 Mg/m³.

It has space group P4/mmm (No. 123), with a = 5.883 Å, b = 5.883 Å, c = 3.864 Å, α = 90.00°, β = 90.00° and γ = 90.00°. The asymmetric unit holds Mo at (0.000, 0.000, 0.000), Au at (0.500, 0.500, 0.500), I at (0.000, 0.500, 0.000) and O at (0.000, 0.000, 0.500).

***

Stability summary: most stable b, least stable a.